i) A plane-wave DFT calculation with PBE was carried out for a relaxed structure of CaSnHg4.

For the volume, the calculation gives 27.49 Å³/atom. The value obtained for the spin magnetization is 0.00 Bohr magnetons per cell.

The space group is C2/m (No. 12) and the conventional cell measures 14.9318, 8.4648 and 5.3830 Å, with angles of 90.00, 104.12 and 90.00 degrees. Symmetry generates all atoms from Ca at (0.2012, 0.0000, 0.1210), Sn at (0.0605, 0.5000, 0.7725), Hg at (0.0000, 0.1816, 0.0000), Hg at (0.1258, 0.1895, 0.5668) and Hg at (0.1780, 0.5000, 0.3030).


ii) A plane-wave DFT calculation with PBE was carried out for a relaxed structure of CaSnHg4.

For the volume, the calculation gives 25.56 Å³/atom. The value obtained for the spin magnetization is 0.00 Bohr magnetons per cell.

The space group is P2/m (No. 10) and the conventional cell measures 4.9666, 4.9592 and 6.6831 Å, with angles of 90.00, 111.29 and 90.00 degrees. Symmetry generates all atoms from Ca at (0.0000, 0.0000, 0.0000), Sn at (0.5000, 0.5000, 0.0000), Hg at (0.1649, 0.5000, 0.3320) and Hg at (0.3264, 0.0000, 0.6539).


iii) A plane-wave DFT calculation with PBE was carried out for a relaxed structure of CaSnHg4.

For the volume, the calculation gives 26.40 Å³/atom. The value obtained for the spin magnetization is 0.00 Bohr magnetons per cell.

The space group is F-43m (No. 216) and the conventional cell measures 8.5894, 8.5894 and 8.5894 Å, with angles of 90.00, 90.00 and 90.00 degrees. Symmetry generates all atoms from Ca at (0.0000, 0.0000, 0.0000), Sn at (0.2500, 0.2500, 0.7500) and Hg at (0.1249, 0.1249, 0.3751).


ii) wins, 41 meV/atom ahead of the next structure.


i) A plane-wave DFT calculation with PBE was carried out for a relaxed structure of Ca2SnHg2.

For the volume, the calculation gives 28.21 Å³/atom. The value obtained for the spin magnetization is 0.00 Bohr magnetons per cell.

The space group is C2/m (No. 12) and the conventional cell measures 11.7272, 4.6220 and 11.4990 Å, with angles of 90.00, 115.14 and 90.00 degrees. Symmetry generates all atoms from Ca at (0.0078, 0.0000, 0.3356), Ca at (0.1850, 0.0000, 0.1029), Sn at (0.2122, 0.5000, 0.3212), Hg at (0.0443, 0.5000, 0.8912) and Hg at (0.1384, 0.5000, 0.5543).


ii) A plane-wave DFT calculation with PBE was carried out for a relaxed structure of Ca2SnHg2.

For the volume, the calculation gives 31.44 Å³/atom. The value obtained for the spin magnetization is 0.00 Bohr magnetons per cell.

The space group is I4/mmm (No. 139) and the conventional cell measures 5.9655, 5.9655 and 8.8360 Å, with angles of 90.00, 90.00 and 90.00 degrees. Symmetry generates all atoms from Ca at (0.0000, 0.5000, 0.2500), Sn at (0.0000, 0.0000, 0.0000) and Hg at (0.0000, 0.0000, 0.3444).


i) wins, 228 meV/atom ahead of the next structure.


i) A plane-wave DFT calculation with PBE was carried out for a relaxed structure of Ca2SnHg2.

For the volume, the calculation gives 30.32 Å³/atom. The value obtained for the spin magnetization is 0.00 Bohr magnetons per cell.

The space group is I4/mmm (No. 139) and the conventional cell measures 4.1581, 4.1581 and 17.5367 Å, with angles of 90.00, 90.00 and 90.00 degrees. Symmetry generates all atoms from Ca at (0.0000, 0.0000, 0.1012), Sn at (0.0000, 0.0000, 0.5000) and Hg at (0.0000, 0.5000, 0.2500).


ii) A plane-wave DFT calculation with PBE was carried out for a relaxed structure of Ca2SnHg2.

For the volume, the calculation gives 27.64 Å³/atom. The value obtained for the spin magnetization is 0.00 Bohr magnetons per cell.

The space group is P4/mbm (No. 127) and the conventional cell measures 8.1890, 8.1890 and 4.1211 Å, with angles of 90.00, 90.00 and 90.00 degrees. Symmetry generates all atoms from Ca at (0.1722, 0.3278, 0.0000), Sn at (0.0000, 0.0000, 0.5000) and Hg at (0.1281, 0.6281, 0.5000).


ii) wins, 138 meV/atom ahead of the next structure.


i) A plane-wave DFT calculation with PBE was carried out for a relaxed structure of Ca2SnHg6.

For the volume, the calculation gives 26.04 Å³/atom. The value obtained for the spin magnetization is 0.00 Bohr magnetons per cell.

The space group is C2/m (No. 12) and the conventional cell measures 15.1211, 8.7274 and 3.5519 Å, with angles of 90.00, 90.15 and 90.00 degrees. Symmetry generates all atoms from Ca at (0.1668, 0.0000, 0.9999), Sn at (0.0000, 0.5000, 0.0000), Hg at (0.0000, 0.1676, 0.5000) and Hg at (0.1662, 0.3338, 0.5013).


ii) A plane-wave DFT calculation with PBE was carried out for a relaxed structure of Ca2SnHg6.

For the volume, the calculation gives 25.76 Å³/atom. The value obtained for the spin magnetization is 0.00 Bohr magnetons per cell.

The space group is C2/m (No. 12) and the conventional cell measures 8.5035, 8.8793 and 6.1546 Å, with angles of 90.00, 93.79 and 90.00 degrees. Symmetry generates all atoms from Ca at (0.1788, 0.0000, 0.1777), Sn at (0.0000, 0.5000, 0.5000), Hg at (0.0000, 0.3309, 0.0000) and Hg at (0.1652, 0.1659, 0.6688).


ii) wins, 20 meV/atom ahead of the next structure.